[1]
Density functional theory data (GGA-PBE) for CaSiAu after structural relaxation.

Properties
Total moment = 0.000 Bohr magnetons per cell
Volume = 22.31 Å³ per atom
Uncorrected energy = -4.21 eV per atom
Density of states at the Fermi level = 5.9 states/eV per cell

Cell lengths 4.2462, 4.2462, 14.8469 Å; angles 90.00, 90.00, 90.00 degrees
Closest atoms and distances in Å follow each position.
Fractional coordinates of all 12 atoms:
Ca1 0.0000 0.0000 0.0930  6 Si 3.24-3.27, 6 Au 3.25-3.26
Ca2 0.0000 0.5000 0.3429  6 Si 3.24-3.27, 6 Au 3.25-3.26
Ca3 0.5000 0.5000 0.5930  6 Si 3.24-3.27, 6 Au 3.25-3.26
Ca4 0.5000 0.0000 0.8430  6 Si 3.24-3.27, 6 Au 3.25-3.26
Si1 0.0000 0.0000 0.6754  3 Au 2.46-2.47
Si2 0.0000 0.5000 0.9254  3 Au 2.46-2.47
Si3 0.5000 0.5000 0.1754  3 Au 2.46-2.47
Si4 0.5000 0.0000 0.4254  3 Au 2.46-2.47
Au1 0.0000 0.0000 0.5098  3 Si 2.46-2.47
Au2 0.0000 0.5000 0.7598  3 Si 2.46-2.47
Au3 0.5000 0.5000 0.0098  3 Si 2.46-2.47
Au4 0.5000 0.0000 0.2598  3 Si 2.46-2.47

---

[2]
Density functional theory data (GGA-PBE) for CaSiAu after structural relaxation.

Properties
Total moment = 0.000 Bohr magnetons per cell
Volume = 25.39 Å³ per atom
Uncorrected energy = -3.37 eV per atom
Density of states at the Fermi level = 2.7 states/eV per cell

Cell lengths 4.7583, 4.7583, 4.7583 Å; angles 60.00, 60.00, 60.00 degrees
Closest atoms and distances in Å follow each position.
Fractional coordinates of all 3 atoms:
Au1 0.5000 0.5000 0.5000  4 Ca 2.91
Ca1 0.2500 0.2500 0.2500  4 Si 2.91, 4 Au 2.91
Si1 0.0000 0.0000 0.0000  4 Ca 2.91

---

[3]
Density functional theory data (GGA-PBE) for CaSmSiAu after structural relaxation.

Properties
Total moment = 0.000 Bohr magnetons per cell
Volume = 23.86 Å³ per atom
Uncorrected energy = -4.50 eV per atom
Density of states at the Fermi level = 1.3 states/eV per cell

Cell lengths 5.1293, 5.1293, 5.1293 Å; angles 60.00, 60.00, 60.00 degrees
Closest atoms and distances in Å follow each position.
Fractional coordinates of all 4 atoms:
Ca1 0.5000 0.5000 0.5000  4 Si 3.14, 4 Au 3.14
Au1 0.7500 0.7500 0.7500  4 Sm 3.14, 4 Ca 3.14
Si1 0.2500 0.2500 0.2500  4 Ca 3.14, 4 Sm 3.14
Sm1 0.0000 0.0000 0.0000  4 Au 3.14, 4 Si 3.14

---

[4]
Density functional theory data (GGA-PBE) for CaSi2Sn2Au7 after structural relaxation.

Properties
Total moment = 0.000 Bohr magnetons per cell
Volume = 22.18 Å³ per atom
Uncorrected energy = -3.83 eV per atom
Density of states at the Fermi level = 4.5 states/eV per cell

Cell lengths 4.6169, 4.6169, 12.6974 Å; angles 92.32, 92.32, 99.78 degrees
Closest atoms and distances in Å follow each position.
Fractional coordinates of all 12 atoms:
Ca1 0.0000 0.0000 0.0000  10 Au 2.97-3.25
Si1 0.6286 0.6286 0.7718  5 Au 2.40-2.58
Si2 0.3714 0.3714 0.2282  5 Au 2.40-2.58
Sn1 0.8397 0.8397 0.3787  5 Au 2.83-3.11
Sn2 0.1603 0.1603 0.6213  5 Au 2.83-3.11
Au1 0.5000 0.5000 0.0000  4 Au 2.86, 2 Ca 2.97, 2 Si 3.04
Au2 0.3281 0.3281 0.4174  1 Si 2.43
Au3 0.6719 0.6719 0.5826  1 Si 2.43
Au4 0.9092 0.5053 0.1752  2 Si 2.40-2.58
Au5 0.5053 0.9092 0.1752  2 Si 2.40-2.58
Au6 0.4947 0.0908 0.8248  2 Si 2.40-2.58
Au7 0.0908 0.4947 0.8248  2 Si 2.40-2.58

---

[5]
Density functional theory data (GGA-PBE) for Ca2Si2SnAu6 after structural relaxation.

Properties
Total moment = 0.000 Bohr magnetons per cell
Volume = 29.10 Å³ per atom
Uncorrected energy = -3.76 eV per atom
Density of states at the Fermi level = 4.6 states/eV per cell

Cell lengths 6.7552, 6.7552, 8.9901 Å; angles 67.93, 67.93, 60.00 degrees
Closest atoms and distances in Å follow each position.
Fractional coordinates of all 11 atoms:
Ca1 0.7911 0.7911 0.6268  9 Au 3.20-3.47
Ca2 0.2089 0.2089 0.3732  9 Au 3.20-3.47
Si1 0.4517 0.4517 0.6449  3 Au 2.34, 1 Si 2.35
Si2 0.5483 0.5483 0.3551  3 Au 2.34, 1 Si 2.35
Sn1 0.0000 0.0000 0.0000  6 Au 2.83
Au1 0.7659 0.7659 0.2859  1 Si 2.34
Au2 0.1822 0.7659 0.2859  1 Si 2.34
Au3 0.7659 0.1822 0.2859  1 Si 2.34
Au4 0.2341 0.8178 0.7141  1 Si 2.34
Au5 0.8178 0.2341 0.7141  1 Si 2.34
Au6 0.2341 0.2341 0.7141  1 Si 2.34

---

[6]
Density functional theory data (GGA-PBE) for Ca3SiSn2Au6 after structural relaxation.

Properties
Total moment = 0.000 Bohr magnetons per cell
Volume = 23.63 Å³ per atom
Uncorrected energy = -3.76 eV per atom
Density of states at the Fermi level = 6.3 states/eV per cell

Cell lengths 6.2641, 6.2641, 8.3445 Å; angles 90.00, 90.00, 120.00 degrees
Closest atoms and distances in Å follow each position.
Fractional coordinates of all 12 atoms:
Ca1 0.3333 0.6667 0.6399  9 Au 3.17-3.28, 1 Sn 3.35
Ca2 0.6667 0.3333 0.3601  9 Au 3.17-3.28, 1 Sn 3.35
Ca3 0.0000 0.0000 0.0000  6 Au 3.17
Si1 0.0000 0.0000 0.5000  6 Au 2.48
Sn1 0.6667 0.3333 0.9586  3 Au 2.81
Sn2 0.3333 0.6667 0.0414  3 Au 2.81
Au1 0.6534 0.8267 0.3059  1 Si 2.48
Au2 0.1733 0.3466 0.3059  1 Si 2.48
Au3 0.1733 0.8267 0.3059  1 Si 2.48
Au4 0.8267 0.6534 0.6941  1 Si 2.48
Au5 0.3466 0.1733 0.6941  1 Si 2.48
Au6 0.8267 0.1733 0.6941  1 Si 2.48